VASP calculation (meta-GGA SCAN) on a PBEsol-optimized structure of Li3GaH.

Unit cell a=3.9398 b=3.9398 c=3.9398 alpha=90.00 beta=90.00 gamma=90.00
Space group Pm-3m (No. 221)
One atom of each set of equivalent atoms:
Li: 0.0000 0.0000 0.5000 (multiplicity 3)
Ga: 0.5000 0.5000 0.5000 (multiplicity 1)
H: 0.0000 0.0000 0.0000 (multiplicity 1)

Electronic total energy (eV/atom): -5.646
Calculated volume (Å³ per atom): 12.23
Crystal system: cubic

VASP calculation (meta-GGA SCAN) on a PBEsol-optimized structure of SrBe2Pb.

Unit cell a=4.2042 b=4.7502 c=4.8059 alpha=90.00 beta=90.00 gamma=90.00
Space group Pmmm (No. 47)
One atom of each set of equivalent atoms:
Sr: 0.0000 0.0000 0.0000 (multiplicity 1)
Be: 0.5000 0.2324 0.5000 (multiplicity 2)
Pb: 0.0000 0.5000 0.5000 (multiplicity 1)

Electronic total energy (eV/atom): -26.549
Calculated volume (Å³ per atom): 23.99
Crystal system: orthorhombic

VASP calculation (meta-GGA SCAN) on a PBEsol-optimized structure of ReSi2Sb.

Unit cell a=8.1243 b=3.2208 c=5.3435 alpha=90.00 beta=97.40 gamma=90.00
Space group C2/m (No. 12)
One atom of each set of equivalent atoms:
Re: 0.0000 0.0000 0.0000 (multiplicity 2)
Si: 0.2254 0.5000 0.1689 (multiplicity 4)
Sb: 0.0000 0.5000 0.5000 (multiplicity 2)

Electronic total energy (eV/atom): -31.712
Uncorrected formation energy (meV per atom): 385.1
Calculated volume (Å³ per atom): 17.33
Crystal system: monoclinic

VASP calculation (meta-GGA SCAN) on a PBEsol-optimized structure of NiSbS2Cl.

Unit cell a=4.9963 b=4.9963 c=4.9845 alpha=90.00 beta=90.00 gamma=90.00
Space group P4/mmm (No. 123)
One atom of each set of equivalent atoms:
Ni: 0.0000 0.0000 0.0000 (multiplicity 1)
Sb: 0.5000 0.5000 0.5000 (multiplicity 1)
S: 0.0000 0.5000 0.5000 (multiplicity 2)
Cl: 0.5000 0.5000 0.0000 (multiplicity 1)

Electronic total energy (eV/atom): -15.477
Uncorrected formation energy (meV per atom): 656.7
Calculated volume (Å³ per atom): 24.89
Crystal system: tetragonal

VASP calculation (meta-GGA SCAN) on a PBEsol-optimized structure of KTa2Rh.

Unit cell a=3.9103 b=3.9103 c=9.7187 alpha=90.00 beta=90.00 gamma=90.00
Space group I4/mmm (No. 139)
One atom of each set of equivalent atoms:
K: 0.0000 0.0000 0.0000 (multiplicity 2)
Ta: 0.0000 0.5000 0.2500 (multiplicity 4)
Rh: 0.0000 0.0000 0.5000 (multiplicity 2)

Relative energy among the computed polymorphs (eV per formula unit): 3.09
Electronic total energy (eV/atom): -42.542
Calculated volume (Å³ per atom): 18.58
Crystal system: tetragonal

VASP calculation (meta-GGA SCAN) on a PBEsol-optimized structure of AlSb.

Unit cell a=4.3479 b=4.3479 c=7.1621 alpha=90.00 beta=90.00 gamma=120.00
Space group P6_3mc (No. 186)
One atom of each set of equivalent atoms:
Al: 0.3333 0.6667 0.0000 (multiplicity 2)
Sb: 0.3333 0.6667 0.6260 (multiplicity 2)

Electronic total energy (eV/atom): -22.704
Uncorrected formation energy (meV per atom): -197.9
Calculated volume (Å³ per atom): 29.31
Crystal system: hexagonal

VASP calculation (meta-GGA SCAN) on a PBEsol-optimized structure of CeAl3.

Unit cell a=6.3264 b=6.3264 c=4.5882 alpha=90.00 beta=90.00 gamma=120.00
Space group P6_3/mmc (No. 194)
One atom of each set of equivalent atoms:
Ce: 0.3333 0.6667 0.2500 (multiplicity 2)
Al: 0.1471 0.2942 0.7500 (multiplicity 6)

Electronic total energy (eV/atom): -17.379
Calculated volume (Å³ per atom): 19.88
Crystal system: hexagonal

VASP calculation (meta-GGA SCAN) on a PBEsol-optimized structure of AsOs3N.

Unit cell a=4.0558 b=4.0558 c=4.0558 alpha=90.00 beta=90.00 gamma=90.00
Space group Pm-3m (No. 221)
One atom of each set of equivalent atoms:
As: 0.0000 0.0000 0.0000 (multiplicity 1)
Os: 0.0000 0.5000 0.5000 (multiplicity 3)
N: 0.5000 0.5000 0.5000 (multiplicity 1)

Electronic total energy (eV/atom): -47.996
Uncorrected formation energy (meV per atom): 1028.2
Calculated volume (Å³ per atom): 13.34
Crystal system: cubic

VASP calculation (meta-GGA SCAN) on a PBEsol-optimized structure of BeAg2Te.

Unit cell a=3.7918 b=3.7918 c=18.4066 alpha=90.00 beta=90.00 gamma=120.00
Space group R3m (No. 160, hexagonal axes)
One atom of each set of equivalent atoms:
Be: 0.0000 0.0000 0.0000 (multiplicity 3)
Ag: 0.0000 0.0000 0.4906 (multiplicity 3)
Ag: 0.0000 0.0000 0.7350 (multiplicity 3)
Te: 0.0000 0.0000 0.2723 (multiplicity 3)

Relative energy among the computed polymorphs (eV per formula unit): 0.34
Electronic total energy (eV/atom): -25.847
Uncorrected formation energy (meV per atom): 237.8
Calculated volume (Å³ per atom): 19.10
Crystal system: trigonal

VASP calculation (meta-GGA SCAN) on a PBEsol-optimized structure of Ta2GeRhCl.

Unit cell a=4.8132 b=4.8132 c=4.4185 alpha=90.00 beta=90.00 gamma=90.00
Space group P4/mmm (No. 123)
One atom of each set of equivalent atoms:
Ta: 0.0000 0.5000 0.0000 (multiplicity 2)
Ge: 0.0000 0.0000 0.0000 (multiplicity 1)
Rh: 0.0000 0.0000 0.5000 (multiplicity 1)
Cl: 0.5000 0.5000 0.5000 (multiplicity 1)

Electronic total energy (eV/atom): -37.559
Uncorrected formation energy (meV per atom): 1242.2
Calculated volume (Å³ per atom): 20.47
Crystal system: tetragonal

VASP calculation (meta-GGA SCAN) on a PBEsol-optimized structure of BaNi2Te.

Unit cell a=4.1561 b=4.8465 c=4.9527 alpha=90.00 beta=90.00 gamma=90.00
Space group Pmmm (No. 47)
One atom of each set of equivalent atoms:
Ba: 0.0000 0.0000 0.0000 (multiplicity 1)
Ni: 0.5000 0.5000 0.2345 (multiplicity 2)
Te: 0.0000 0.5000 0.5000 (multiplicity 1)

Electronic total energy (eV/atom): -27.550
Uncorrected formation energy (meV per atom): -262.9
Calculated volume (Å³ per atom): 24.94
Crystal system: orthorhombic

VASP calculation (meta-GGA SCAN) on a PBEsol-optimized structure of Co2NiW.

Unit cell a=2.5174 b=4.1059 c=4.5543 alpha=90.00 beta=96.21 gamma=90.00
Space group P2/m (No. 10)
One atom of each set of equivalent atoms:
Co: 0.2143 0.0000 0.2652 (multiplicity 2)
Ni: 0.0000 0.5000 0.5000 (multiplicity 1)
W: 0.5000 0.5000 0.0000 (multiplicity 1)

Relative energy among the computed polymorphs (eV per formula unit): 0.59
Electronic total energy (eV/atom): -29.905
Calculated volume (Å³ per atom): 11.70
Crystal system: monoclinic